<P>
Pm2Ga3Pt2 PBE relaxed; SG = No. 63; crystal system = orthorhombic
1.0
2.0820 -9.3394 0.0000
2.0820 9.3394 0.0000
0.0000 0.0000 7.3458
Pm Ga Pt
4 6 4
Direct
0.0653 0.9347 0.7500
0.1577 0.8423 0.2500
0.8423 0.1577 0.7500
0.9347 0.0653 0.2500
0.2280 0.7720 0.7500
0.4421 0.5579 0.5781
0.4421 0.5579 0.9219
0.5579 0.4421 0.0781
0.5579 0.4421 0.4219
0.7720 0.2280 0.2500
0.3119 0.6881 0.0516
0.3119 0.6881 0.4484
0.6881 0.3119 0.5516
0.6881 0.3119 0.9484

<Q>
Pm2Ga3Pt2 PBE relaxed; SG = No. 12; crystal system = monoclinic
1.0
5.1890 -2.1865 0.0000
5.1890 2.1865 0.0000
-2.8585 0.0000 6.2190
Pm Ga Pt
2 3 2
Direct
0.1492 0.1492 0.2735
0.8508 0.8508 0.7265
0.3813 0.3813 0.0621
0.5000 0.5000 0.5000
0.6187 0.6187 0.9379
0.1394 0.1394 0.7193
0.8606 0.8606 0.2807

Which one is most stable, and which one is least stable? <Q> is the most stable of them, while <P> is the least stable.